[1]
VASP calculation (PBE) on a geometry-optimized SmTmAgIr structure.

Computed properties:
Calculated formation energy   -0.563 eV/atom
DFT total energy   -23.2 eV/f.u.
Total magnetic moment   0.0 μB per formula unit

abc: 4.995 4.995 4.995
angles: 60.00 60.00 60.00
Element x y z (fractional)
Ir 0.250 0.250 0.250
Tm 0.000 0.000 0.000
Ag 0.750 0.750 0.750
Sm 0.500 0.500 0.500

---

[2]
VASP calculation (PBE) on a geometry-optimized KNiI4 structure.

Computed properties:
DFT total energy   -15.6 eV/f.u.
Total magnetic moment   1.1 μB per formula unit

abc: 4.143 6.667 8.640
angles: 96.89 90.00 90.00
Site moments in Bohr magnetons follow the coordinates.
Element x y z (fractional)
K 0.500 0.500 0.000  0.00
Ni 0.000 0.500 0.500  0.73
I 0.000 0.249 0.715  0.01
I 0.000 0.751 0.285  0.01
I 0.500 0.279 0.352  0.11
I 0.500 0.721 0.648  0.11